{
  "formula": "HfSb2RuS",
  "functional": "PBE",
  "state": "optimized geometry",
  "cell": [[5.5549, 0.0000, 0.0000], [0.0000, 4.7215, 0.0000], [0.0000, 0.0000, 5.5549]],
  "species": ["Hf", "Sb", "Ru", "Sb", "S"],
  "fractional_positions": [[0.0000, 0.0000, 0.0000], [0.0000, 0.0000, 0.5000], [0.5000, 0.5000, 0.5000], [0.5000, 0.0000, 0.0000], [0.0000, 0.5000, 0.0000]],
  "crystal_system": "tetragonal",
  "space_group": "P4/mmm",
  "mass_density_g_cm3": 6.3,
  "final_energy_ev_per_cell": -27.8,
  "e_form_raw_ev_per_atom": 0.7619
}